Record 1
This record from Alexandria describes a relaxed Pr3Nd8Tm2 crystal. The functional is PBE.

The calculation puts the energy of formation from the pure elements at 2.8 eV/f.u. As for the energy relative to the lowest polymorph listed for this composition: 64 meV/atom.

Lattice parameters (Å, degrees): 5.846 7.800 10.963 110.84 90.04 90.00
Atoms (fractional coordinates):
1 Tm 0.502 0.759 0.518
2 Tm 0.498 0.241 0.482
3 Nd 0.999 0.136 0.271
4 Nd 0.500 0.599 0.782
5 Nd 0.999 0.324 0.649
6 Nd 0.500 0.817 0.218
7 Nd 0.500 0.401 0.218
8 Nd 0.001 0.676 0.351
9 Nd 0.500 0.183 0.782
10 Nd 0.001 0.864 0.729
11 Pr 0.000 0.711 0.000
12 Pr 0.500 0.000 0.000
13 Pr 0.000 0.289 0.000


Record 2
This record from Alexandria describes a relaxed PrNd3Tm2 crystal. The functional is PBE.

The calculation puts the energy of formation from the pure elements at 2.0 eV/f.u. As for the energy relative to the lowest polymorph listed for this composition: 240 meV/atom.

Lattice parameters (Å, degrees): 3.502 6.000 10.434 106.71 99.66 90.00
Atoms (fractional coordinates):
1 Tm 0.638 0.638 0.277
2 Tm 0.362 0.362 0.723
3 Nd 0.191 0.191 0.382
4 Nd 0.809 0.809 0.618
5 Nd 0.000 0.500 0.000
6 Pr 0.000 0.000 0.000


Record 3
This record from Alexandria describes a relaxed Pr8Nd2Tm crystal. The functional is PBE.

The calculation puts the energy of formation from the pure elements at 1.6 eV/f.u. As for the energy relative to the lowest polymorph listed for this composition: 11 meV/atom.

Lattice parameters (Å, degrees): 5.959 11.771 11.771 34.00 59.68 59.68
Atoms (fractional coordinates):
1 Pr 0.633 0.183 0.183
2 Pr 0.324 0.858 0.317
3 Pr 0.367 0.817 0.817
4 Pr 0.676 0.683 0.142
5 Pr 0.676 0.142 0.683
6 Pr 0.324 0.317 0.858
7 Pr 0.205 0.398 0.398
8 Pr 0.795 0.602 0.602
9 Tm 0.000 0.000 0.000
10 Nd 0.035 0.733 0.733
11 Nd 0.965 0.267 0.267


Record 4
This record from Alexandria describes a relaxed PrNd5Tm2 crystal. The functional is PBE.

The calculation puts the energy of formation from the pure elements at 0.3 eV/f.u. As for the energy relative to the lowest polymorph listed for this composition: 24 meV/atom.

Lattice parameters (Å, degrees): 3.605 11.356 8.962 129.31 101.61 90.00
Atoms (fractional coordinates):
1 Tm 0.742 0.242 0.484
2 Tm 0.258 0.758 0.516
3 Nd 0.368 0.597 0.735
4 Nd 0.632 0.862 0.265
5 Nd 0.000 0.500 0.000
6 Nd 0.632 0.403 0.265
7 Nd 0.368 0.138 0.735
8 Pr 0.000 0.000 0.000


Record 5
This record from Alexandria describes a relaxed Pr2Nd4Tm crystal. The functional is PBE.

The calculation puts the energy of formation from the pure elements at 0.1 eV/f.u.

Lattice parameters (Å, degrees): 10.378 6.332 8.182 97.42 89.95 114.15
Atoms (fractional coordinates):
1 Nd 0.053 0.696 0.823
2 Nd 0.984 0.411 0.391
3 Nd 0.125 0.982 0.249
4 Nd 0.770 0.554 0.106
5 Nd 0.840 0.839 0.538
6 Nd 0.266 0.553 0.109
7 Nd 0.554 0.699 0.822
8 Nd 0.410 0.125 0.962
9 Pr 0.196 0.268 0.678
10 Pr 0.625 0.982 0.249
11 Pr 0.480 0.411 0.394
12 Pr 0.696 0.265 0.680
13 Tm 0.912 0.126 0.964
14 Tm 0.338 0.838 0.536


Record 6
This record from Alexandria describes a relaxed PrNd2Tm4 crystal. The functional is PBE.

The calculation puts the energy of formation from the pure elements at 0.2 eV/f.u. As for the energy relative to the lowest polymorph listed for this composition: 0 meV/atom.

Lattice parameters (Å, degrees): 7.135 10.670 8.753 122.73 90.44 119.60
Atoms (fractional coordinates):
1 Pr 0.084 0.032 0.086
2 Pr 0.661 0.465 0.375
3 Nd 0.238 0.897 0.664
4 Nd 0.948 0.183 0.522
5 Nd 0.447 0.180 0.520
6 Nd 0.372 0.744 0.227
7 Tm 0.590 0.035 0.087
8 Tm 0.871 0.746 0.229
9 Tm 0.304 0.323 0.948
10 Tm 0.805 0.322 0.948
11 Tm 0.517 0.608 0.803
12 Tm 0.162 0.465 0.375
13 Tm 0.731 0.893 0.661
14 Tm 0.019 0.608 0.804


Number 1: N(E_F) 1.494 states/eV/atom, total energy -0.332 Ry/atom. Number 2: N(E_F) 1.851 states/eV/atom, total energy -0.319 Ry/atom. Number 3: N(E_F) 1.516 states/eV/atom, total energy -0.338 Ry/atom. Number 4: N(E_F) 1.438 states/eV/atom, total energy -0.343 Ry/atom. Number 5: N(E_F) 1.482 states/eV/atom, total energy -0.347 Ry/atom. Number 6: N(E_F) 1.353 states/eV/atom, total energy -0.336 Ry/atom.